(a)
Below is a relaxed TlOsPt2 crystal, with properties calculated at the PBE-GGA level.

Geometry as CIF:
```
data_TlOsPt2
_cell_length_a 4.110
_cell_length_b 4.110
_cell_length_c 7.982
_cell_angle_alpha 90.00
_cell_angle_beta 90.00
_cell_angle_gamma 90.00
_space_group_name_H-M_alt 'I 4/m m m'
_space_group_IT_number 139
_space_group_name_Hall '-I 4 2'
loop_
_atom_site_label
_atom_site_type_symbol
_atom_site_fract_x
_atom_site_fract_y
_atom_site_fract_z
Tl1 Tl 0.000 0.000 0.000
Os1 Os 0.000 0.000 0.500
Pt1 Pt 0.000 0.500 0.250
```


(b)
Below is a relaxed TlOsPt2 crystal, with properties calculated at the PBE-GGA level.

Geometry as CIF:
```
data_TlOsPt2
_cell_length_a 9.218
_cell_length_b 2.958
_cell_length_c 5.068
_cell_angle_alpha 90.00
_cell_angle_beta 99.13
_cell_angle_gamma 90.00
_space_group_name_H-M_alt 'C 1 2/m 1'
_space_group_IT_number 12
loop_
_space_group_symop_operation_xyz
'x,y,z'
'-x,-y,-z'
'-x,y,-z'
'x,-y,z'
'x+1/2,y+1/2,z'
'-x+1/2,-y+1/2,-z'
'-x+1/2,y+1/2,-z'
'x+1/2,-y+1/2,z'
loop_
_atom_site_label
_atom_site_type_symbol
_atom_site_fract_x
_atom_site_fract_y
_atom_site_fract_z
Tl1 Tl 0.000 0.000 0.000
Os1 Os 0.000 0.500 0.500
Pt1 Pt 0.241 0.000 0.726
```


The most stable of them is (b).


(a)
Below is a relaxed TlOsPt2 crystal, with properties calculated at the PBE-GGA level.

Geometry as CIF:
```
data_TlOsPt2
_cell_length_a 2.859
_cell_length_b 4.981
_cell_length_c 9.854
_cell_angle_alpha 90.00
_cell_angle_beta 90.00
_cell_angle_gamma 90.00
_space_group_name_H-M_alt 'C m m m'
_space_group_IT_number 65
_space_group_name_Hall '-C 2 2'
loop_
_atom_site_label
_atom_site_type_symbol
_atom_site_fract_x
_atom_site_fract_y
_atom_site_fract_z
Tl1 Tl 0.000 0.000 0.000
Os1 Os 0.000 0.000 0.500
Pt1 Pt 0.000 0.500 0.269
```


(b)
Below is a relaxed TlOsPt2 crystal, with properties calculated at the PBE-GGA level.

Geometry as CIF:
```
data_TlOsPt2
_cell_length_a 9.185
_cell_length_b 2.891
_cell_length_c 5.258
_cell_angle_alpha 90.00
_cell_angle_beta 100.47
_cell_angle_gamma 90.00
_space_group_name_H-M_alt 'C 1 m 1'
_space_group_IT_number 8
loop_
_space_group_symop_operation_xyz
'x,y,z'
'x,-y,z'
'x+1/2,y+1/2,z'
'x+1/2,-y+1/2,z'
loop_
_atom_site_label
_atom_site_type_symbol
_atom_site_fract_x
_atom_site_fract_y
_atom_site_fract_z
Tl1 Tl 0.000 0.000 0.000
Os1 Os 0.248 0.500 0.302
Pt1 Pt 0.247 0.000 0.741
Pt2 Pt 0.491 0.000 0.488
```


(c)
Below is a relaxed TlOsPt2 crystal, with properties calculated at the PBE-GGA level.

Geometry as CIF:
```
data_TlOsPt2
_cell_length_a 2.882
_cell_length_b 2.882
_cell_length_c 8.467
_cell_angle_alpha 90.00
_cell_angle_beta 90.00
_cell_angle_gamma 90.00
_space_group_name_H-M_alt 'P 4/m m m'
_space_group_IT_number 123
_space_group_name_Hall '-P 4 2'
loop_
_atom_site_label
_atom_site_type_symbol
_atom_site_fract_x
_atom_site_fract_y
_atom_site_fract_z
Tl1 Tl 0.000 0.000 0.000
Os1 Os 0.000 0.000 0.500
Pt1 Pt 0.500 0.500 0.287
```


The most stable of them is (c).